# 1
A geometry-optimized Tl3H4Se4 structure. Source: the Alexandria database, functional PBE. Values from VASP.

Computed properties:
Total magnetic moment (Bohr magnetons per cell): 0.00
E (eV/atom): -3.257
Excess energy over the best structure of this formula in the dataset (eV/f.u.): 0.00

The structure in Quantum ESPRESSO input format:
```
&SYSTEM
  ibrav = 0, nat = 11, ntyp = 3
/
ATOMIC_SPECIES
H 1.01 H.upf
Tl 204.38 Tl.upf
Se 78.96 Se.upf
CELL_PARAMETERS angstrom
-0.772 3.500 -2.948
-4.119 -0.298 1.434
3.503 16.062 3.181
ATOMIC_POSITIONS angstrom
H -1.975 11.489 0.129
H 0.586 7.775 1.538
H -1.042 15.591 1.632
H -0.347 3.673 0.036
Tl 2.731 19.562 0.233
Tl 0.920 11.030 2.029
Tl -2.309 8.234 -0.362
Se 0.243 16.319 1.424
Se -1.632 2.944 0.243
Se 0.194 6.789 0.494
Se -1.583 12.475 1.174
```

=====

# 2
A geometry-optimized Tl2H2Se3 structure. Source: the Alexandria database, functional PBE. Values from VASP.

Computed properties:
Total magnetic moment (Bohr magnetons per cell): 0.00
E (eV/atom): -3.230

The structure in Quantum ESPRESSO input format:
```
&SYSTEM
  ibrav = 0, nat = 7, ntyp = 3
/
ATOMIC_SPECIES
H 1.01 H.upf
Tl 204.38 Tl.upf
Se 78.96 Se.upf
CELL_PARAMETERS angstrom
4.932 -0.017 0.014
-2.469 5.206 0.352
0.014 -0.528 8.033
ATOMIC_POSITIONS angstrom
H 0.015 2.654 7.707
H 2.462 2.008 0.693
Tl -0.010 1.224 2.721
Tl 2.486 3.438 5.678
Se 0.000 0.000 0.000
Se 2.464 2.950 1.851
Se 0.012 1.711 6.548
```